1.
DFT (PBE-GGA) results for a relaxed structure of CsMg2ScMn.

Summary:
The formation energy comes out at 0.7912 eV per atom. The total magnetic moment comes out at 1.98 μB per formula unit. The value obtained for the total energy is -3.12 eV per atom. As for the crystal system: tetragonal.

Cell: 6.030 5.057 6.030 Å, 90.00 90.00 90.00°
Fractional coordinates of all 5 atoms:
Mg (0.000, 0.000, 0.500)
Mg (0.500, 0.000, 0.000)
Sc (0.000, 0.000, 0.000)
Cs (0.500, 0.500, 0.500)
Mn (0.000, 0.500, 0.000)



2.
DFT (PBE-GGA) results for a relaxed structure of Cs2MgMo.

Summary:
The formation energy comes out at 1.4258 eV per atom. The total magnetic moment comes out at 4.33 μB per formula unit. The value obtained for the total energy is -2.11 eV per atom. As for the crystal system: cubic.

Cell: 6.053 6.053 6.053 Å, 60.00 60.00 60.00°
Fractional coordinates of all 4 atoms:
Mo (0.500, 0.500, 0.500)
Mg (0.000, 0.000, 0.000)
Cs (0.750, 0.750, 0.750)
Cs (0.250, 0.250, 0.250)



3.
DFT (PBE-GGA) results for a relaxed structure of CsMg3Mo.

Summary:
The formation energy comes out at 2.4589 eV per atom. The total magnetic moment comes out at 0.00 μB per formula unit. The value obtained for the total energy is -0.83 eV per atom. As for the crystal system: cubic.

Cell: 5.545 5.545 5.545 Å, 90.00 90.00 90.00°
Fractional coordinates of all 5 atoms:
Cs (0.000, 0.000, 0.000)
Mg (0.000, 0.000, 0.500)
Mg (0.000, 0.500, 0.000)
Mg (0.500, 0.000, 0.000)
Mo (0.500, 0.500, 0.500)



4.
DFT (PBE-GGA) results for a relaxed structure of CsMg3Mo.

Summary:
The formation energy comes out at 0.8533 eV per atom. The total magnetic moment comes out at 3.23 μB per formula unit. The value obtained for the total energy is -2.44 eV per atom. As for the crystal system: cubic.

Cell: 5.613 5.613 5.613 Å, 90.00 90.00 90.00°
Fractional coordinates of all 5 atoms:
Cs (0.500, 0.500, 0.500)
Mo (0.000, 0.000, 0.000)
Mg (0.000, 0.500, 0.000)
Mg (0.500, 0.000, 0.000)
Mg (0.000, 0.000, 0.500)



5.
DFT (PBE-GGA) results for a relaxed structure of CsNaMgMo2.

Summary:
The formation energy comes out at 2.4177 eV per atom. The total magnetic moment comes out at 3.37 μB per formula unit. The value obtained for the total energy is -2.67 eV per atom. As for the crystal system: tetragonal.

Cell: 5.123 5.373 5.123 Å, 90.00 90.00 90.00°
Fractional coordinates of all 5 atoms:
Mo (0.000, 0.000, 0.500)
Mo (0.500, 0.000, 0.000)
Cs (0.000, 0.000, 0.000)
Mg (0.500, 0.500, 0.500)
Na (0.000, 0.500, 0.000)



What did the second record say?
DFT (PBE-GGA) results for a relaxed structure of Cs2MgMo.

Summary:
The formation energy comes out at 1.4258 eV per atom. The total magnetic moment comes out at 4.33 μB per formula unit. The value obtained for the total energy is -2.11 eV per atom. As for the crystal system: cubic.

Cell: 6.053 6.053 6.053 Å, 60.00 60.00 60.00°
Fractional coordinates of all 4 atoms:
Mo (0.500, 0.500, 0.500)
Mg (0.000, 0.000, 0.000)
Cs (0.750, 0.750, 0.750)
Cs (0.250, 0.250, 0.250)